# PBE ScCu3Ni, relaxed
data_ScCu3Ni
_chemical_formula_sum 'Sc1 Cu3 Ni1'
_symmetry_space_group_name_H-M 'P 1'
_symmetry_Int_Tables_number 1
_symmetry_space_group_name_Hall 'P 1'
_cell_length_a 4.3809
_cell_length_b 4.3809
_cell_length_c 4.3809
_cell_angle_alpha 90.00
_cell_angle_beta 90.00
_cell_angle_gamma 90.00
loop_
_atom_site_label
_atom_site_type_symbol
_atom_site_fract_x
_atom_site_fract_y
_atom_site_fract_z
Sc1 Sc 0.5000 0.5000 0.5000
Cu1 Cu 0.5000 0.0000 0.0000
Ni1 Ni 0.0000 0.0000 0.0000
Cu2 Cu 0.0000 0.0000 0.5000
Cu3 Cu 0.0000 0.5000 0.0000
# DOS(E_F) (states/eV per cell): 5.0
# ΔE_f (eV per atom): 0.40
# Electronic total energy (eV for the cell shown): -22.42


# PBE Ti2ZnIr9, relaxed
data_Ti2ZnIr9
_chemical_formula_sum 'Ti2 Zn1 Ir9'
_symmetry_space_group_name_H-M 'P 1'
_symmetry_Int_Tables_number 1
_symmetry_space_group_name_Hall 'P 1'
_cell_length_a 3.8779
_cell_length_b 3.8779
_cell_length_c 11.6154
_cell_angle_alpha 90.00
_cell_angle_beta 90.00
_cell_angle_gamma 90.00
loop_
_atom_site_label
_atom_site_type_symbol
_atom_site_fract_x
_atom_site_fract_y
_atom_site_fract_z
Ir1 Ir 0.5000 0.0000 0.1684
Ir2 Ir 0.0000 0.5000 0.8316
Ir3 Ir 0.5000 0.0000 0.8316
Ir4 Ir 0.5000 0.5000 0.6652
Ir5 Ir 0.0000 0.5000 0.1684
Ir6 Ir 0.5000 0.5000 0.3348
Ir7 Ir 0.5000 0.5000 0.0000
Ir8 Ir 0.0000 0.5000 0.5000
Zn1 Zn 0.0000 0.0000 0.0000
Ti1 Ti 0.0000 0.0000 0.3296
Ti2 Ti 0.0000 0.0000 0.6704
Ir9 Ir 0.5000 0.0000 0.5000
# DOS(E_F) (states/eV per cell): 11.1
# ΔE_f (eV per atom): -0.46
# Electronic total energy (eV for the cell shown): -102.37


# PBE MgCu2Br, relaxed
data_MgCu2Br
_chemical_formula_sum 'Mg1 Cu2 Br1'
_symmetry_space_group_name_H-M 'P 1'
_symmetry_Int_Tables_number 1
_symmetry_space_group_name_Hall 'P 1'
_cell_length_a 3.3379
_cell_length_b 3.3668
_cell_length_c 7.0052
_cell_angle_alpha 75.70
_cell_angle_beta 90.00
_cell_angle_gamma 90.00
loop_
_atom_site_label
_atom_site_type_symbol
_atom_site_fract_x
_atom_site_fract_y
_atom_site_fract_z
Cu1 Cu 0.5000 0.2020 0.2161
Mg1 Mg 0.0000 0.5771 0.4736
Cu2 Cu 0.0000 0.7560 0.1093
Br1 Br 0.5000 0.9649 0.7010
# DOS(E_F) (states/eV per cell): 1.3
# Formation energy without anion corrections (eV/atom): -0.112
# Electronic total energy (eV for the cell shown): -11.91


# PBE Pm2GeIr, relaxed
data_Pm2GeIr
_chemical_formula_sum 'Pm2 Ge1 Ir1'
_symmetry_space_group_name_H-M 'P 1'
_symmetry_Int_Tables_number 1
_symmetry_space_group_name_Hall 'P 1'
_cell_length_a 3.4694
_cell_length_b 3.4694
_cell_length_c 7.7842
_cell_angle_alpha 90.00
_cell_angle_beta 90.00
_cell_angle_gamma 90.00
loop_
_atom_site_label
_atom_site_type_symbol
_atom_site_fract_x
_atom_site_fract_y
_atom_site_fract_z
Pm1 Pm 0.0000 0.0000 0.2294
Pm2 Pm 0.0000 0.0000 0.7706
Ge1 Ge 0.5000 0.5000 0.5000
Ir1 Ir 0.5000 0.5000 0.0000
# DOS(E_F) (states/eV per cell): 2.5
# ΔE_f (eV per atom): -0.62
# Electronic total energy (eV for the cell shown): -25.46


# PBE Al6Co5Ru, relaxed
data_Al6Co5Ru
_chemical_formula_sum 'Al6 Co5 Ru1'
_symmetry_space_group_name_H-M 'P 1'
_symmetry_Int_Tables_number 1
_symmetry_space_group_name_Hall 'P 1'
_cell_length_a 4.0743
_cell_length_b 5.7647
_cell_length_c 6.4443
_cell_angle_alpha 90.00
_cell_angle_beta 71.57
_cell_angle_gamma 90.00
loop_
_atom_site_label
_atom_site_type_symbol
_atom_site_fract_x
_atom_site_fract_y
_atom_site_fract_z
Al1 Al 0.5000 0.2553 0.0000
Al2 Al 0.1684 0.2515 0.6631
Co1 Co 0.3313 0.0000 0.3373
Al3 Al 0.1684 0.7485 0.6631
Al4 Al 0.8316 0.2515 0.3369
Ru1 Ru 0.0000 0.0000 0.0000
Al5 Al 0.5000 0.7447 0.0000
Co2 Co 0.0000 0.5000 0.0000
Co3 Co 0.6677 0.5000 0.6647
Co4 Co 0.6687 0.0000 0.6627
Co5 Co 0.3323 0.5000 0.3353
Al6 Al 0.8316 0.7485 0.3369
# DOS(E_F) (states/eV per cell): 2.9
# ΔE_f (eV per atom): -0.63
# Electronic total energy (eV for the cell shown): -74.82


# PBE PrZnCd2, relaxed
data_PrZnCd2
_chemical_formula_sum 'Pr1 Zn1 Cd2'
_symmetry_space_group_name_H-M 'P 1'
_symmetry_Int_Tables_number 1
_symmetry_space_group_name_Hall 'P 1'
_cell_length_a 5.0967
_cell_length_b 5.0967
_cell_length_c 5.0967
_cell_angle_alpha 60.00
_cell_angle_beta 60.00
_cell_angle_gamma 60.00
loop_
_atom_site_label
_atom_site_type_symbol
_atom_site_fract_x
_atom_site_fract_y
_atom_site_fract_z
Zn1 Zn 0.5000 0.5000 0.5000
Cd1 Cd 0.7500 0.7500 0.7500
Cd2 Cd 0.2500 0.2500 0.2500
Pr1 Pr 0.0000 0.0000 0.0000
# DOS(E_F) (states/eV per cell): 1.6
# ΔE_f (eV per atom): -0.21
# Electronic total energy (eV for the cell shown): -8.73


# PBE Sr2ScCuO, relaxed
data_Sr2ScCuO
_chemical_formula_sum 'Sr2 Sc1 Cu1 O1'
_symmetry_space_group_name_H-M 'P 1'
_symmetry_Int_Tables_number 1
_symmetry_space_group_name_Hall 'P 1'
_cell_length_a 6.3925
_cell_length_b 3.6128
_cell_length_c 6.3925
_cell_angle_alpha 90.00
_cell_angle_beta 90.00
_cell_angle_gamma 90.00
loop_
_atom_site_label
_atom_site_type_symbol
_atom_site_fract_x
_atom_site_fract_y
_atom_site_fract_z
O1 O 0.0000 0.5000 0.0000
Sr1 Sr 0.0000 0.0000 0.5000
Sc1 Sc 0.5000 0.5000 0.5000
Cu1 Cu 0.0000 0.0000 0.0000
Sr2 Sr 0.5000 0.0000 0.0000
# DOS(E_F) (states/eV per cell): 4.6
# Formation energy without anion corrections (eV/atom): -0.052
# Electronic total energy (eV for the cell shown): -19.01


# PBE AsOsCl2, relaxed
data_AsOsCl2
_chemical_formula_sum 'As1 Os1 Cl2'
_symmetry_space_group_name_H-M 'P 1'
_symmetry_Int_Tables_number 1
_symmetry_space_group_name_Hall 'P 1'
_cell_length_a 2.9518
_cell_length_b 2.9518
_cell_length_c 10.2028
_cell_angle_alpha 90.00
_cell_angle_beta 90.00
_cell_angle_gamma 90.00
loop_
_atom_site_label
_atom_site_type_symbol
_atom_site_fract_x
_atom_site_fract_y
_atom_site_fract_z
Os1 Os 0.5000 0.5000 0.2500
Cl1 Cl 0.0000 0.0000 0.0842
As1 As 0.5000 0.5000 0.7500
Cl2 Cl 0.0000 0.0000 0.4158
# DOS(E_F) (states/eV per cell): 3.8
# Formation energy without anion corrections (eV/atom): 0.991
# Electronic total energy (eV for the cell shown): -15.61


# PBE Li2PrHoHg4, relaxed
data_Li2PrHoHg4
_chemical_formula_sum 'Li2 Pr1 Ho1 Hg4'
_symmetry_space_group_name_H-M 'P 1'
_symmetry_Int_Tables_number 1
_symmetry_space_group_name_Hall 'P 1'
_cell_length_a 5.0766
_cell_length_b 5.0766
_cell_length_c 8.8712
_cell_angle_alpha 73.37
_cell_angle_beta 73.37
_cell_angle_gamma 60.00
loop_
_atom_site_label
_atom_site_type_symbol
_atom_site_fract_x
_atom_site_fract_y
_atom_site_fract_z
Hg1 Hg 0.1279 0.1279 0.6162
Hg2 Hg 0.8721 0.8721 0.3838
Pr1 Pr 0.0000 0.0000 0.0000
Hg3 Hg 0.3791 0.3791 0.8626
Li1 Li 0.7523 0.7523 0.7432
Li2 Li 0.2477 0.2477 0.2568
Ho1 Ho 0.5000 0.5000 0.5000
Hg4 Hg 0.6209 0.6209 0.1374
# DOS(E_F) (states/eV per cell): 5.7
# ΔE_f (eV per atom): -0.44
# Electronic total energy (eV for the cell shown): -17.92


# PBE LaY5Ho2Th, relaxed
data_LaY5Ho2Th
_chemical_formula_sum 'La2 Y10 Ho4 Th2'
_symmetry_space_group_name_H-M 'P 1'
_symmetry_Int_Tables_number 1
_symmetry_space_group_name_Hall 'P 1'
_cell_length_a 5.7700
_cell_length_b 10.9563
_cell_length_c 9.8582
_cell_angle_alpha 90.00
_cell_angle_beta 90.00
_cell_angle_gamma 105.27
loop_
_atom_site_label
_atom_site_type_symbol
_atom_site_fract_x
_atom_site_fract_y
_atom_site_fract_z
Ho1 Ho 0.1112 0.2224 0.3219
Ho2 Ho 0.8703 0.7405 0.2121
Y1 Y 0.5271 0.0542 0.2404
Th1 Th 0.1916 0.3832 0.0251
Y2 Y 0.6129 0.2259 0.5323
Y3 Y 0.7343 0.4685 0.8401
Y4 Y 0.4729 0.9458 0.7404
Y5 Y 0.2657 0.5315 0.3401
La1 La 0.4042 0.8084 0.4228
Y6 Y 0.3032 0.6064 0.7120
Y7 Y 0.0140 0.0279 0.0173
Ho3 Ho 0.8888 0.7776 0.8219
Y8 Y 0.9860 0.9721 0.5173
Y9 Y 0.3871 0.7741 0.0323
Th2 Th 0.8084 0.6168 0.5251
Ho4 Ho 0.1297 0.2595 0.7121
Y10 Y 0.6968 0.3936 0.2120
La2 La 0.5958 0.1916 0.9228
# DOS(E_F) (states/eV per cell): 27.1
# ΔE_f (eV per atom): 0.17
# Electronic total energy (eV for the cell shown): -104.64


# PBE Mg2TaGe2, relaxed
data_Mg2TaGe2
_chemical_formula_sum 'Mg4 Ta2 Ge4'
_symmetry_space_group_name_H-M 'P 1'
_symmetry_Int_Tables_number 1
_symmetry_space_group_name_Hall 'P 1'
_cell_length_a 6.9381
_cell_length_b 6.9381
_cell_length_c 3.8835
_cell_angle_alpha 90.00
_cell_angle_beta 90.00
_cell_angle_gamma 90.00
loop_
_atom_site_label
_atom_site_type_symbol
_atom_site_fract_x
_atom_site_fract_y
_atom_site_fract_z
Mg1 Mg 0.8311 0.3311 0.5000
Ta1 Ta 0.0000 0.0000 0.0000
Ge1 Ge 0.6384 0.1384 0.0000
Ge2 Ge 0.1384 0.3616 0.0000
Ta2 Ta 0.5000 0.5000 0.0000
Mg2 Mg 0.1689 0.6689 0.5000
Ge3 Ge 0.3616 0.8616 0.0000
Ge4 Ge 0.8616 0.6384 0.0000
Mg3 Mg 0.6689 0.8311 0.5000
Mg4 Mg 0.3311 0.1689 0.5000
# DOS(E_F) (states/eV per cell): 7.7
# ΔE_f (eV per atom): 0.00
# Electronic total energy (eV for the cell shown): -48.56


# PBE PuV4Sb, relaxed
data_PuV4Sb
_chemical_formula_sum 'Pu1 V4 Sb1'
_symmetry_space_group_name_H-M 'P 1'
_symmetry_Int_Tables_number 1
_symmetry_space_group_name_Hall 'P 1'
_cell_length_a 5.2345
_cell_length_b 5.2345
_cell_length_c 5.2345
_cell_angle_alpha 60.00
_cell_angle_beta 60.00
_cell_angle_gamma 60.00
loop_
_atom_site_label
_atom_site_type_symbol
_atom_site_fract_x
_atom_site_fract_y
_atom_site_fract_z
V1 V 0.1165 0.6278 0.6278
V2 V 0.6278 0.1165 0.6278
Pu1 Pu 0.0000 0.0000 0.0000
V3 V 0.6278 0.6278 0.1165
Sb1 Sb 0.2500 0.2500 0.2500
V4 V 0.6278 0.6278 0.6278
# DOS(E_F) (states/eV per cell): 11.4
# Formation energy without anion corrections (eV/atom): 0.209
# Electronic total energy (eV for the cell shown): -53.67